A plane-wave DFT calculation with PBE was carried out for an optimized crystal structure of La2DyBi.

VASP energy   -5.000 eV/atom
Symmetry   No. 123
V   33.6 Å³ per atom
E_form   -0.4154 eV/atom
ΔE to the lowest computed polymorph   34 meV per atom
Crystal system   tetragonal

a = 4.3550 Å, b = 4.3550 Å, c = 7.0869 Å
α = 90.00°, β = 90.00°, γ = 90.00°
Closest atoms and distances in Å follow each position.
Fractional positions:
1 La 0.0000 0.0000 0.7302  1 La 3.26, 4 Bi 3.49, 4 Dy 3.62
2 La 0.0000 0.0000 0.2698  1 La 3.26, 4 Bi 3.49, 4 Dy 3.62
3 Bi 0.5000 0.5000 0.5000  8 La 3.49, 2 Dy 3.54
4 Dy 0.5000 0.5000 0.0000  2 Bi 3.54, 8 La 3.62